No. 1
First-principles (GGA-PBE) data for a relaxed structure of LaCeInGa, as listed in the Alexandria database.

## Properties
The crystal system is cubic. As for the energy of formation from the pure elements: -162 kJ/mol of formula units. The value obtained for the total magnetization is 0.91 μB per formula unit. The value obtained for the distance to the lowest polymorph of the same formula is 46 meV per atom.

a b c (Å): 7.6422 7.6422 7.6422
angles (deg): 90.00 90.00 90.00
Space group F-43m (No. 216)
Asymmetric unit:
La: 0.0000 0.0000 0.0000 [4 per cell]
Ce: 0.0000 0.0000 0.5000 [4 per cell]
In: 0.2500 0.2500 0.7500 [4 per cell]
Ga: 0.2500 0.2500 0.2500 [4 per cell]

***

No. 2
First-principles (GGA-PBE) data for a relaxed structure of CeLuInGa, as listed in the Alexandria database.

## Properties
The crystal system is cubic. As for the energy of formation from the pure elements: -161 kJ/mol of formula units. The value obtained for the total magnetization is 0.91 μB per formula unit.

a b c (Å): 7.3717 7.3717 7.3717
angles (deg): 90.00 90.00 90.00
Space group F-43m (No. 216)
Asymmetric unit:
Ce: 0.0000 0.0000 0.0000 [4 per cell]
Lu: 0.0000 0.0000 0.5000 [4 per cell]
In: 0.2500 0.2500 0.7500 [4 per cell]
Ga: 0.2500 0.2500 0.2500 [4 per cell]

***

No. 3
First-principles (GGA-PBE) data for a relaxed structure of Ce2InGa3Ni4, as listed in the Alexandria database.

## Properties
The crystal system is tetragonal. As for the energy of formation from the pure elements: -453 kJ/mol of formula units. The value obtained for the total magnetization is 0.95 μB per formula unit.

a b c (Å): 4.1503 4.1503 10.2332
angles (deg): 90.00 90.00 90.00
Space group P-4m2 (No. 115)
Asymmetric unit:
Ce: 0.0000 0.5000 0.2385 [2 per cell]
In: 0.0000 0.0000 0.5000 [1 per cell]
Ga: 0.0000 0.5000 0.8810 [2 per cell]
Ga: 0.5000 0.5000 0.5000 [1 per cell]
Ni: 0.0000 0.0000 0.0000 [1 per cell]
Ni: 0.0000 0.5000 0.6496 [2 per cell]
Ni: 0.5000 0.5000 0.0000 [1 per cell]

***

No. 4
First-principles (GGA-PBE) data for a relaxed structure of CeInGaNi, as listed in the Alexandria database.

## Properties
The crystal system is cubic. As for the energy of formation from the pure elements: -134 kJ/mol of formula units. The value obtained for the total magnetization is 0.00 μB per formula unit.

a b c (Å): 6.7980 6.7980 6.7980
angles (deg): 90.00 90.00 90.00
Space group F-43m (No. 216)
Asymmetric unit:
Ce: 0.0000 0.0000 0.0000 [4 per cell]
In: 0.0000 0.0000 0.5000 [4 per cell]
Ga: 0.2500 0.2500 0.2500 [4 per cell]
Ni: 0.2500 0.2500 0.7500 [4 per cell]

***

No. 5
First-principles (GGA-PBE) data for a relaxed structure of CeInGaPb, as listed in the Alexandria database.

## Properties
The crystal system is orthorhombic. As for the energy of formation from the pure elements: -150 kJ/mol of formula units. The value obtained for the total magnetization is 0.84 μB per formula unit.

a b c (Å): 4.5517 4.6652 4.7704
angles (deg): 90.00 90.00 90.00
Space group Pmmm (No. 47)
Asymmetric unit:
Ce: 0.0000 0.0000 0.0000 [1 per cell]
In: 0.0000 0.5000 0.5000 [1 per cell]
Ga: 0.5000 0.5000 0.0000 [1 per cell]
Pb: 0.5000 0.0000 0.5000 [1 per cell]

***

No. 6
First-principles (GGA-PBE) data for a relaxed structure of Ce2InGa2Pd5, as listed in the Alexandria database.

## Properties
The crystal system is tetragonal. As for the energy of formation from the pure elements: -609 kJ/mol of formula units. The value obtained for the total magnetization is 2.41 μB per formula unit.

a b c (Å): 10.5740 10.5740 3.4150
angles (deg): 90.00 90.00 90.00
Space group P4/mbm (No. 127)
Asymmetric unit:
Ce: 0.1769 0.3231 0.0000 [4 per cell]
In: 0.0000 0.0000 0.0000 [2 per cell]
Ga: 0.1250 0.6250 0.0000 [4 per cell]
Pd: 0.0000 0.5000 0.5000 [2 per cell]
Pd: 0.0515 0.7933 0.5000 [8 per cell]

***

No. 7
First-principles (GGA-PBE) data for a relaxed structure of Ce2InGa4Pd3, as listed in the Alexandria database.

## Properties
The crystal system is tetragonal. As for the energy of formation from the pure elements: -647 kJ/mol of formula units. The value obtained for the total magnetization is 1.56 μB per formula unit.

a b c (Å): 4.2841 4.2841 10.9342
angles (deg): 90.00 90.00 90.00
Space group P-4m2 (No. 115)
Asymmetric unit:
Ce: 0.0000 0.5000 0.2362 [2 per cell]
In: 0.0000 0.0000 0.5000 [1 per cell]
Ga: 0.0000 0.0000 0.0000 [1 per cell]
Ga: 0.0000 0.5000 0.6488 [2 per cell]
Ga: 0.5000 0.5000 0.0000 [1 per cell]
Pd: 0.0000 0.5000 0.8733 [2 per cell]
Pd: 0.5000 0.5000 0.5000 [1 per cell]

***

No. 8
First-principles (GGA-PBE) data for a relaxed structure of CeInGaPd, as listed in the Alexandria database.

## Properties
The crystal system is cubic. As for the energy of formation from the pure elements: -219 kJ/mol of formula units. The value obtained for the total magnetization is 0.53 μB per formula unit.

a b c (Å): 6.9561 6.9561 6.9561
angles (deg): 90.00 90.00 90.00
Space group F-43m (No. 216)
Asymmetric unit:
Ce: 0.0000 0.0000 0.0000 [4 per cell]
In: 0.0000 0.0000 0.5000 [4 per cell]
Ga: 0.2500 0.2500 0.2500 [4 per cell]
Pd: 0.2500 0.2500 0.7500 [4 per cell]

***

No. 9
First-principles (GGA-PBE) data for a relaxed structure of CeInGa2Pd2, as listed in the Alexandria database.

## Properties
The crystal system is trigonal. As for the energy of formation from the pure elements: -355 kJ/mol of formula units. The value obtained for the total magnetization is 0.82 μB per formula unit.

a b c (Å): 4.4340 4.4340 6.9613
angles (deg): 90.00 90.00 120.00
Space group P-3m1 (No. 164)
Asymmetric unit:
Ce: 0.0000 0.0000 0.0000 [1 per cell]
In: 0.0000 0.0000 0.5000 [1 per cell]
Ga: 0.3333 0.6667 0.7471 [2 per cell]
Pd: 0.3333 0.6667 0.3254 [2 per cell]

***

No. 10
First-principles (GGA-PBE) data for a relaxed structure of CeIn2GaPd4, as listed in the Alexandria database.

## Properties
The crystal system is trigonal. As for the energy of formation from the pure elements: -452 kJ/mol of formula units. The value obtained for the total magnetization is 0.80 μB per formula unit.

a b c (Å): 4.5787 4.5787 25.3487
angles (deg): 90.00 90.00 120.00
Space group R-3m (No. 166, hexagonal axes)
Asymmetric unit:
Ce: 0.0000 0.0000 0.0000 [3 per cell]
In: 0.0000 0.0000 0.2462 [6 per cell]
Ga: 0.0000 0.0000 0.5000 [3 per cell]
Pd: 0.0000 0.0000 0.1341 [6 per cell]
Pd: 0.0000 0.0000 0.3987 [6 per cell]

***

No. 11
First-principles (GGA-PBE) data for a relaxed structure of CeInGa2Pd5, as listed in the Alexandria database.

## Properties
The crystal system is tetragonal. As for the energy of formation from the pure elements: -475 kJ/mol of formula units. The value obtained for the total magnetization is 0.41 μB per formula unit.

a b c (Å): 4.2250 4.2250 9.2606
angles (deg): 90.00 90.00 90.00
Space group P4/mmm (No. 123)
Asymmetric unit:
Ce: 0.0000 0.0000 0.0000 [1 per cell]
In: 0.0000 0.0000 0.5000 [1 per cell]
Ga: 0.5000 0.5000 0.3686 [2 per cell]
Pd: 0.0000 0.5000 0.2204 [4 per cell]
Pd: 0.5000 0.5000 0.0000 [1 per cell]

***

No. 12
First-principles (GGA-PBE) data for a relaxed structure of Ce2InGa3Pd4, as listed in the Alexandria database.

## Properties
The crystal system is tetragonal. As for the energy of formation from the pure elements: -681 kJ/mol of formula units. The value obtained for the total magnetization is 1.50 μB per formula unit.

a b c (Å): 4.1829 4.1829 11.3925
angles (deg): 90.00 90.00 90.00
Space group P-4m2 (No. 115)
Asymmetric unit:
Ce: 0.0000 0.5000 0.2453 [2 per cell]
In: 0.0000 0.0000 0.5000 [1 per cell]
Ga: 0.0000 0.5000 0.8734 [2 per cell]
Ga: 0.5000 0.5000 0.5000 [1 per cell]
Pd: 0.0000 0.0000 0.0000 [1 per cell]
Pd: 0.0000 0.5000 0.6540 [2 per cell]
Pd: 0.5000 0.5000 0.0000 [1 per cell]